(1)
Below is crystalline Mg2HgP at its relaxed geometry, with properties calculated at the PBE level.

Cell: 3.9879 3.9879 6.7670 Å, 72.89 72.89 60.07°
Positions (direct):
Mg 0.0646 0.0646 0.8057
Mg 0.2707 0.2707 0.1874
Hg 0.5001 0.5001 0.4998
P 0.6646 0.6646 0.0070

Properties
- crystal system = trigonal
- energy relative to the elements (meV per atom) = -390
- space-group type = No. 160

---

(2)
Below is crystalline ScNb2Hg2 at its relaxed geometry, with properties calculated at the PBE level.

Cell: 8.3620 8.3620 3.0316 Å, 90.00 90.00 90.00°
Positions (direct):
Sc 0.0000 0.0000 0.0000
Sc 0.5000 0.5000 0.0000
Nb 0.3905 0.8905 0.0000
Nb 0.8905 0.6095 0.0000
Nb 0.6095 0.1095 0.0000
Nb 0.1095 0.3905 0.0000
Hg 0.1862 0.6862 0.5000
Hg 0.6862 0.8138 0.5000
Hg 0.8138 0.3138 0.5000
Hg 0.3138 0.1862 0.5000

Properties
- E above lowest polymorph (eV/atom) = 0.0000
- crystal system = tetragonal
- energy relative to the elements (meV per atom) = 289
- space-group type = No. 127

---

(3)
Below is crystalline Si2TeSe at its relaxed geometry, with properties calculated at the PBE level.

Cell: 3.5577 3.5577 7.7185 Å, 90.00 90.00 113.92°
Positions (direct):
Se 0.5000 0.5000 0.7500
Si 0.0000 0.0000 0.9797
Si 0.0000 0.0000 0.5203
Te 0.5000 0.5000 0.2500

Properties
- E above lowest polymorph (eV/atom) = 0.5619
- E_form (uncorrected) (eV per atom) = 0.4965
- crystal system = orthorhombic
- space-group type = No. 65

---

(4)
Below is crystalline Ca2Zn4Ga3Si at its relaxed geometry, with properties calculated at the PBE level.

Cell: 4.2163 4.2163 10.8144 Å, 90.00 90.00 90.00°
Positions (direct):
Ca 0.5000 0.0000 0.2531
Ca 0.0000 0.5000 0.7469
Zn 0.5000 0.5000 0.0000
Zn 0.0000 0.0000 0.0000
Zn 0.5000 0.0000 0.6344
Zn 0.0000 0.5000 0.3656
Ga 0.0000 0.0000 0.5000
Ga 0.5000 0.0000 0.8627
Ga 0.0000 0.5000 0.1373
Si 0.5000 0.5000 0.5000

Properties
- E_form (uncorrected) (eV per atom) = -0.2995
- crystal system = tetragonal
- space-group type = No. 115

---

(5)
Below is crystalline PrNi3Ge3 at its relaxed geometry, with properties calculated at the PBE level.

Cell: 6.3087 6.3087 8.0887 Å, 67.05 67.05 60.00°
Positions (direct):
Pr 0.3273 0.3273 0.0180
Pr 0.6727 0.6727 0.9820
Ni 0.5572 0.7704 0.6070
Ni 0.7704 0.0654 0.6070
Ni 0.0654 0.5572 0.6070
Ni 0.9346 0.4428 0.3930
Ni 0.2296 0.9346 0.3930
Ni 0.4428 0.2296 0.3930
Ge 0.1950 0.6676 0.2752
Ge 0.8622 0.1950 0.2752
Ge 0.6676 0.8622 0.2752
Ge 0.3324 0.1378 0.7248
Ge 0.1378 0.8050 0.7248
Ge 0.8050 0.3324 0.7248

Properties
- E above lowest polymorph (eV/atom) = 0.0000
- crystal system = trigonal
- energy relative to the elements (meV per atom) = -305
- space-group type = No. 148

---

(6)
Below is crystalline Zn2IrRh at its relaxed geometry, with properties calculated at the PBE level.

Cell: 8.4668 8.4668 8.4668 Å, 19.14 19.14 19.14°
Positions (direct):
Zn 0.0008 0.0008 0.0008
Zn 0.4992 0.4992 0.4992
Ir 0.2500 0.2500 0.2500
Rh 0.7500 0.7500 0.7500

Properties
- crystal system = trigonal
- energy relative to the elements (meV per atom) = -192
- space-group type = No. 166

---

(7)
Below is crystalline Ho3NpRu8 at its relaxed geometry, with properties calculated at the PBE level.

Cell: 5.3126 5.3126 9.2251 Å, 73.27 73.27 60.00°
Positions (direct):
Ho 0.3752 0.3752 0.8743
Ho 0.0001 0.0001 0.9996
Ho 0.4998 0.4998 0.5006
Np 0.8749 0.8749 0.3753
Ru 0.9367 0.4373 0.1887
Ru 0.4390 0.9374 0.6863
Ru 0.4373 0.4373 0.1887
Ru 0.9374 0.9374 0.6863
Ru 0.1876 0.1876 0.4373
Ru 0.6873 0.6873 0.9380
Ru 0.4373 0.9367 0.1887
Ru 0.9374 0.4390 0.6863

Properties
- crystal system = trigonal
- energy relative to the elements (meV per atom) = -226
- space-group type = No. 160

---

(8)
Below is crystalline BaAsAu2 at its relaxed geometry, with properties calculated at the PBE level.

Cell: 4.5367 4.8218 5.4216 Å, 89.64 90.00 90.00°
Positions (direct):
As 0.5000 0.9924 0.7443
Au 0.0000 0.0017 0.9768
Au 0.5000 0.0058 0.2706
Ba 0.0000 0.5001 0.5083

Properties
- crystal system = monoclinic
- energy relative to the elements (meV per atom) = -560
- space-group type = No. 6

---

(9)
Below is crystalline LiLa2BeH at its relaxed geometry, with properties calculated at the PBE level.

Cell: 5.3906 4.0346 5.3906 Å, 90.00 90.00 90.00°
Positions (direct):
Be 0.0000 0.5000 0.0000
Li 0.0000 0.0000 0.0000
H 0.5000 0.5000 0.5000
La 0.0000 0.0000 0.5000
La 0.5000 0.0000 0.0000

Properties
- E above lowest polymorph (eV/atom) = 0.7522
- crystal system = tetragonal
- space-group type = No. 123

---

(10)
Below is crystalline Nd3HoTh2Bi6 at its relaxed geometry, with properties calculated at the PBE level.

Cell: 4.5878 9.1628 10.2541 Å, 103.08 102.93 90.00°
Positions (direct):
Nd 0.5000 0.5000 0.0000
Nd 0.8327 0.1656 0.6653
Nd 0.1673 0.8344 0.3347
Ho 0.5000 0.0000 0.0000
Th 0.8353 0.6691 0.6706
Th 0.1647 0.3309 0.3294
Bi 0.3362 0.9182 0.6724
Bi 0.6674 0.5831 0.3348
Bi 0.6638 0.0818 0.3276
Bi 0.9992 0.2427 0.9983
Bi 0.0008 0.7573 0.0017
Bi 0.3326 0.4169 0.6652

Properties
- crystal system = monoclinic
- energy relative to the elements (meV per atom) = -811
- space-group type = No. 12

---

(11)
Below is crystalline Ce3DyHo2Bi6 at its relaxed geometry, with properties calculated at the PBE level.

Cell: 7.8597 7.8597 7.8475 Å, 99.61 99.61 120.00°
Positions (direct):
Ce 0.1663 0.8337 0.5000
Ce 0.8337 0.1663 0.5000
Ce 0.5000 0.5000 0.5000
Dy 0.0000 0.0000 0.0000
Ho 0.3331 0.6669 0.0000
Ho 0.6669 0.3331 0.0000
Bi 0.9192 0.5852 0.7576
Bi 0.7466 0.7466 0.2419
Bi 0.0808 0.4148 0.2424
Bi 0.5852 0.9192 0.7576
Bi 0.2534 0.2534 0.7581
Bi 0.4148 0.0808 0.2424

Properties
- crystal system = monoclinic
- energy relative to the elements (meV per atom) = -819
- space-group type = No. 12

---

(12)
Below is crystalline Np4US5 at its relaxed geometry, with properties calculated at the PBE level.

Cell: 3.8907 3.8907 14.0444 Å, 97.96 97.96 90.00°
Positions (direct):
Np 0.4005 0.4005 0.8010
Np 0.8002 0.8002 0.6005
Np 0.1998 0.1998 0.3995
Np 0.5995 0.5995 0.1990
U 0.0000 0.0000 0.0000
S 0.1000 0.1000 0.2000
S 0.5000 0.5000 0.0000
S 0.9000 0.9000 0.8000
S 0.3002 0.3002 0.6003
S 0.6998 0.6998 0.3997

Properties
- E_form (uncorrected) (eV per atom) = -1.3629
- crystal system = tetragonal
- space-group type = No. 139

---

(13)
Below is crystalline TbB2H8 at its relaxed geometry, with properties calculated at the PBE level.

Cell: 3.9056 7.0777 7.0777 Å, 34.34 78.38 78.38°
Positions (direct):
Tb 0.0000 0.0000 0.0000
B 0.5859 0.8660 0.8660
B 0.4141 0.1340 0.1340
H 0.4269 0.3221 0.8363
H 0.5731 0.1637 0.6779
H 0.3270 0.8298 0.8298
H 0.6730 0.1702 0.1702
H 0.4269 0.8363 0.3221
H 0.5731 0.6779 0.1637
H 0.8487 0.8012 0.8012
H 0.1513 0.1988 0.1988

Properties
- E above lowest polymorph (eV/atom) = 0.0000
- crystal system = monoclinic
- space-group type = No. 12

---

(14)
Below is crystalline BaLiAgBr4 at its relaxed geometry, with properties calculated at the PBE level.

Cell: 6.7643 7.8393 8.6252 Å, 90.00 99.46 90.00°
Positions (direct):
Ba 0.7955 0.7500 0.9218
Ba 0.2045 0.2500 0.0782
Li 0.6856 0.7500 0.3311
Li 0.3144 0.2500 0.6689
Ag 0.2023 0.7500 0.3722
Ag 0.7977 0.2500 0.6278
Br 0.0762 0.4892 0.7521
Br 0.9238 0.9892 0.2479
Br 0.9238 0.5108 0.2479
Br 0.0762 0.0108 0.7521
Br 0.4012 0.7500 0.0939
Br 0.5988 0.2500 0.9061
Br 0.5363 0.7500 0.5757
Br 0.4637 0.2500 0.4243

Properties
- E_form (uncorrected) (eV per atom) = -1.4134
- crystal system = monoclinic
- space-group type = No. 11

---

(15)
Below is crystalline Cs2WBr6N at its relaxed geometry, with properties calculated at the PBE level.

Cell: 7.9971 7.9971 8.0041 Å, 60.03 60.03 90.00°
Positions (direct):
Cs 0.7500 0.2500 0.5000
Cs 0.2500 0.7500 0.5000
Br 0.2260 0.2260 0.5479
Br 0.7740 0.7740 0.4521
Br 0.2264 0.2264 0.0000
Br 0.7736 0.7736 0.0000
Br 0.7736 0.2264 0.0000
Br 0.2264 0.7736 0.0000
W 0.0000 0.0000 0.0000
N 0.5000 0.5000 0.0000

Properties
- E_form (uncorrected) (eV per atom) = -0.4596
- crystal system = tetragonal
- space-group type = No. 139

---

(16)
Below is crystalline CeThN2 at its relaxed geometry, with properties calculated at the PBE level.

Cell: 3.6272 3.6272 6.2533 Å, 73.15 73.15 60.02°
Positions (direct):
Ce 0.5000 0.5000 0.5000
Th 0.0000 0.0000 0.0000
N 0.7505 0.7505 0.7484
N 0.2495 0.2495 0.2516

Properties
- E_form (uncorrected) (eV per atom) = -1.5477
- crystal system = trigonal
- space-group type = No. 166

---

(17)
Below is crystalline K4SmEr3Te8 at its relaxed geometry, with properties calculated at the PBE level.

Cell: 8.9859 9.7432 8.9870 Å, 117.50 120.00 90.00°
Positions (direct):
K 0.5000 0.0000 0.0000
K 0.5000 0.0000 0.5000
K 0.0000 0.0000 0.0000
K 0.0000 0.0000 0.5000
Sm 0.0000 0.5000 0.0000
Er 0.5000 0.5000 0.0000
Er 0.5000 0.5000 0.5000
Er 0.0000 0.5000 0.5000
Te 0.2393 0.7089 0.9699
Te 0.2393 0.7089 0.4786
Te 0.2646 0.2940 0.5291
Te 0.7305 0.7089 0.9699
Te 0.2695 0.2911 0.0301
Te 0.7354 0.7060 0.4709
Te 0.7607 0.2911 0.5214
Te 0.7607 0.2911 0.0301

Properties
- E_form (uncorrected) (eV per atom) = -1.3881
- crystal system = trigonal
- space-group type = No. 166

---

(18)
Below is crystalline LaTlH3 at its relaxed geometry, with properties calculated at the PBE level.

Cell: 4.5011 4.5011 4.5011 Å, 90.00 90.00 90.00°
Positions (direct):
H 0.0000 0.5000 0.0000
H 0.0000 0.0000 0.5000
H 0.5000 0.0000 0.0000
Tl 0.5000 0.5000 0.5000
La 0.0000 0.0000 0.0000

Properties
- E above lowest polymorph (eV/atom) = 0.0000
- crystal system = cubic
- space-group type = No. 221

---

(19)
Below is crystalline AcCeMgIn at its relaxed geometry, with properties calculated at the PBE level.

Cell: 5.6383 5.6383 5.6383 Å, 60.00 60.00 60.00°
Positions (direct):
Ac 0.7500 0.7500 0.7500
Mg 0.0000 0.0000 0.0000
Ce 0.2500 0.2500 0.2500
In 0.5000 0.5000 0.5000

Properties
- crystal system = cubic
- energy relative to the elements (meV per atom) = -165
- space-group type = No. 216

---

(20)
Below is crystalline V3MoN at its relaxed geometry, with properties calculated at the PBE level.

Cell: 5.7287 5.7233 7.6113 Å, 90.00 90.00 90.00°
Positions (direct):
V 0.7500 0.2500 0.0285
V 0.7500 0.7500 0.5286
V 0.7500 0.7500 0.9714
V 0.2500 0.7500 0.5285
V 0.2500 0.7500 0.9715
V 0.2500 0.2500 0.4714
V 0.2500 0.2500 0.0286
V 0.7500 0.2500 0.4715
V 0.5000 0.0361 0.7500
V 0.0000 0.5361 0.2500
V 0.5000 0.9639 0.2500
V 0.0000 0.4639 0.7500
Mo 0.5000 0.4863 0.7500
Mo 0.0000 0.9863 0.2500
Mo 0.5000 0.5137 0.2500
Mo 0.0000 0.0137 0.7500
N 0.0000 0.5000 0.0000
N 0.5000 0.0000 0.5000
N 0.5000 0.0000 0.0000
N 0.0000 0.5000 0.5000

Properties
- E above lowest polymorph (eV/atom) = 0.0000
- E_form (uncorrected) (eV per atom) = -0.4331
- crystal system = orthorhombic
- space-group type = No. 74